The following is a GGA-PBE calculation of a relaxed Sc3AsIr crystal, from Alexandria via LeMat-Bulk.

```
5
Lattice="4.8831 0.0000 0.0000 0.0000 4.8831 0.0000 0.0000 0.0000 4.8831" Properties=species:S:1:pos:R:3 pbc="T T T"
Sc 0.0000 0.0000 2.4416
Sc 0.0000 2.4416 0.0000
Sc 2.4416 0.0000 0.0000
As 0.0000 0.0000 0.0000
Ir 2.4416 2.4416 2.4416
```

Output
M_tot, μB/cell: 0.0
Relative energy among the computed polymorphs, eV/atom: 0.310
Formation energy, eV/atom: -0.038

---

The following is a GGA-PBE calculation of a relaxed ScAsIr2 crystal, from Alexandria via LeMat-Bulk.

```
8
Lattice="3.0336 0.0000 0.0000 0.0000 4.6142 0.0000 0.0000 0.0000 9.1258" Properties=species:S:1:pos:R:3 pbc="T T T"
Sc 0.0000 0.0000 0.0000
Sc 1.5168 2.3071 4.5629
As 0.0000 0.0000 4.5629
As 1.5168 2.3071 0.0000
Ir 0.0000 2.3071 2.1009
Ir 0.0000 2.3071 7.0249
Ir 1.5168 0.0000 2.4620
Ir 1.5168 0.0000 6.6638
```

Output
M_tot, μB/cell: 0.0
Formation energy, eV/atom: -0.430

---

The following is a GGA-PBE calculation of a relaxed ScAs3Ir crystal, from Alexandria via LeMat-Bulk.

```
5
Lattice="4.8590 0.0000 0.0000 0.0000 4.8590 0.0000 0.0000 0.0000 4.8590" Properties=species:S:1:pos:R:3 pbc="T T T"
Sc 0.0000 0.0000 0.0000
As 0.0000 2.4295 2.4295
As 2.4295 0.0000 2.4295
As 2.4295 2.4295 0.0000
Ir 2.4295 2.4295 2.4295
```

Output
M_tot, μB/cell: 0.0
Relative energy among the computed polymorphs, eV/atom: 0.000
Formation energy, eV/atom: 0.318

---

The following is a GGA-PBE calculation of a relaxed ScAsIr2 crystal, from Alexandria via LeMat-Bulk.

```
12
Lattice="3.0057 0.0000 0.0000 -1.5028 2.6030 0.0000 0.0000 0.0000 25.1689" Properties=species:S:1:pos:R:3 pbc="T T T"
Sc 0.0000 0.0000 0.0000
Sc 0.0000 1.7353 16.7793
Sc 1.5028 0.8677 8.3896
As 0.0000 0.0000 12.5844
As 0.0000 1.7353 4.1948
As 1.5028 0.8677 20.9741
Ir 0.0000 0.0000 6.2305
Ir 0.0000 0.0000 18.9384
Ir 0.0000 1.7353 10.5487
Ir 0.0000 1.7353 23.0098
Ir 1.5028 0.8677 2.1591
Ir 1.5028 0.8677 14.6202
```

Output
M_tot, μB/cell: 0.0
Formation energy, eV/atom: -0.235

---

The following is a GGA-PBE calculation of a relaxed ScAsIr2 crystal, from Alexandria via LeMat-Bulk.

```
4
Lattice="3.0840 0.0000 0.0000 0.0000 3.5695 0.0000 0.0000 0.0000 5.8608" Properties=species:S:1:pos:R:3 pbc="T T T"
Sc 0.0000 0.0000 0.0000
As 0.0000 0.0000 2.9304
Ir 1.5420 1.7848 1.5035
Ir 1.5420 1.7848 4.3573
```

Output
M_tot, μB/cell: 0.0
Formation energy, eV/atom: -0.466

---

The following is a GGA-PBE calculation of a relaxed ScAsIr2 crystal, from Alexandria via LeMat-Bulk.

```
4
Lattice="4.1312 0.0000 0.0000 0.0000 4.1312 0.0000 0.0000 0.0000 3.7038" Properties=species:S:1:pos:R:3 pbc="T T T"
Sc 0.0000 0.0000 0.0000
As 2.0656 2.0656 0.0000
Ir 0.0000 2.0656 1.8519
Ir 2.0656 0.0000 1.8519
```

Output
M_tot, μB/cell: 0.0
Formation energy, eV/atom: -0.545